1.
Here is a relaxed structure of TaPd6Au2 from Alexandria via LeMat-Bulk. Energies are from PBE.

Structure (POSCAR):
```
TaPd6Au2
1.0
4.8493 0.3067 0.6030
-2.3174 3.2072 -2.9320
1.2106 -1.1997 10.0443
Ta Pd Au
1 6 2
Direct
0.0000 0.0000 0.5000 Ta
0.5684 0.1336 0.1765 Pd
0.4316 0.8664 0.8235 Pd
0.9010 0.7899 0.1769 Pd
0.6654 0.3293 0.4983 Pd
0.0990 0.2101 0.8231 Pd
0.3346 0.6707 0.5017 Pd
0.7690 0.5523 0.8331 Au
0.2310 0.4477 0.1669 Au
```

Calculated values
crystal system	triclinic
ΔH_f (0 K)	-247	meV per atom
symmetry	No. 2

2.
Here is a relaxed structure of Cs2Pu3ThO12 from Alexandria via LeMat-Bulk. Energies are from PBE.

Structure (POSCAR):
```
Cs2Pu3ThO12
1.0
7.9438 0.0008 0.0006
3.9238 6.9071 0.0006
3.9238 2.2840 6.5186
Cs Pu Th O
2 3 1 12
Direct
0.6227 0.6227 0.6227 Cs
0.3773 0.3773 0.3773 Cs
0.5000 0.0000 0.0000 Pu
0.0000 0.5000 0.0000 Pu
0.0000 0.0000 0.5000 Pu
0.0000 0.0000 0.0000 Th
0.3065 0.3065 0.9319 O
0.9254 0.9254 0.3444 O
0.3444 0.9254 0.9254 O
0.9319 0.3065 0.3065 O
0.9254 0.3444 0.9254 O
0.3065 0.9319 0.3065 O
0.6935 0.6935 0.0681 O
0.0746 0.0746 0.6556 O
0.6556 0.0746 0.0746 O
0.0681 0.6935 0.6935 O
0.0746 0.6556 0.0746 O
0.6935 0.0681 0.6935 O
```

Calculated values
crystal system	trigonal
E_tot	-8.8651	eV/atom
symmetry	No. 166

3.
Here is a relaxed structure of CsCaSmBr6 from Alexandria via LeMat-Bulk. Energies are from PBE.

Structure (POSCAR):
```
CsCaSmBr6
1.0
-2.5033 2.9530 -6.5205
-1.1144 -7.3472 1.5099
-13.9223 3.5396 6.9479
Cs Ca Sm Br
2 2 2 12
Direct
0.0000 0.0000 0.0000 Cs
0.0000 0.0000 0.5000 Cs
0.3333 0.6667 0.2500 Ca
0.6667 0.3333 0.7500 Ca
0.6667 0.3333 0.2500 Sm
0.3333 0.6667 0.7500 Sm
0.6223 0.6180 0.1453 Br
0.9957 0.3777 0.1453 Br
0.3777 0.9957 0.6453 Br
0.0043 0.6223 0.8547 Br
0.3820 0.3777 0.3547 Br
0.9957 0.6180 0.3547 Br
0.6180 0.9957 0.8547 Br
0.6223 0.0043 0.3547 Br
0.0043 0.3820 0.6453 Br
0.3820 0.0043 0.1453 Br
0.6180 0.6223 0.6453 Br
0.3777 0.3820 0.8547 Br
```

Calculated values
crystal system	trigonal
E_tot	-3.9086	eV/atom
symmetry	No. 163

Number 1 is which compound? TaPd6Au2